Record 1
Rb3Ce2Cl9 | PBE | relaxed

a = 9.871 Å, b = 9.871 Å, c = 9.871 Å
α = 86.28°, β = 86.28°, γ = 86.28°
Site moments in Bohr magnetons follow the coordinates.
Element x y z (fractional)
1 Rb 0.931 0.569 0.250  0.00
2 Rb 0.431 0.750 0.069  0.00
3 Rb 0.250 0.931 0.569  0.00
4 Rb 0.069 0.431 0.750  0.00
5 Rb 0.750 0.069 0.431  0.00
6 Rb 0.569 0.250 0.931  0.00
7 Cl 0.587 0.440 0.224  -0.01
8 Cl 0.402 0.098 0.250  -0.01
9 Cl 0.250 0.402 0.098  -0.01
10 Cl 0.060 0.913 0.276  -0.01
11 Cl 0.276 0.060 0.913  -0.01
12 Cl 0.940 0.087 0.724  -0.01
13 Cl 0.224 0.587 0.440  -0.01
14 Cl 0.087 0.724 0.940  -0.01
15 Cl 0.440 0.224 0.587  -0.01
16 Cl 0.902 0.750 0.598  -0.01
17 Cl 0.598 0.902 0.750  -0.01
18 Cl 0.913 0.276 0.060  -0.01
19 Cl 0.098 0.250 0.402  -0.01
20 Cl 0.776 0.413 0.560  -0.01
21 Cl 0.413 0.560 0.776  -0.01
22 Cl 0.560 0.776 0.413  -0.01
23 Cl 0.750 0.598 0.902  -0.01
24 Cl 0.724 0.940 0.087  -0.01
25 Ce 0.141 0.141 0.141  0.97
26 Ce 0.359 0.359 0.359  0.97
27 Ce 0.859 0.859 0.859  0.97
28 Ce 0.641 0.641 0.641  0.97

Summary:
Calculated volume: 955.9 Å³/cell
Raw formation energy: -2.11 eV per atom
E_tot: -4.349 eV per atom
M_tot: 2.000 μB/f.u.

Record 2
Rb3CeCl7 | PBE | relaxed

a = 7.685 Å, b = 7.685 Å, c = 8.441 Å
α = 63.57°, β = 63.57°, γ = 86.03°
Element x y z (fractional)
1 Ce 0.953 0.953 0.042
2 Rb 0.506 0.506 0.916
3 Rb 0.228 0.773 0.489
4 Rb 0.773 0.228 0.489
5 Cl 0.658 0.658 0.414
6 Cl 0.645 0.127 0.202
7 Cl 0.135 0.135 0.148
8 Cl 0.306 0.983 0.737
9 Cl 0.983 0.306 0.737
10 Cl 0.127 0.645 0.202
11 Cl 0.811 0.811 0.876

Summary:
Calculated volume: 394.6 Å³/cell
Raw formation energy: -1.97 eV per atom
E_tot: -3.951 eV per atom
M_tot: 0.000 μB/f.u.

Record 3
Rb3CeCl6 | PBE | relaxed

a = 7.882 Å, b = 8.350 Å, c = 11.297 Å
α = 90.00°, β = 88.99°, γ = 90.00°
Site moments in Bohr magnetons follow the coordinates.
Element x y z (fractional)
1 Cl 0.831 0.727 0.923  0.00
2 Cl 0.127 0.059 0.773  0.00
3 Cl 0.373 0.559 0.727  0.00
4 Cl 0.331 0.773 0.423  0.00
5 Cl 0.782 0.679 0.556  0.00
6 Cl 0.627 0.441 0.273  0.00
7 Cl 0.218 0.321 0.444  0.00
8 Cl 0.282 0.821 0.056  0.00
9 Cl 0.669 0.227 0.577  0.00
10 Cl 0.169 0.273 0.077  0.00
11 Cl 0.718 0.179 0.944  0.00
12 Cl 0.873 0.941 0.227  0.00
13 Rb 0.526 0.931 0.756  0.00
14 Rb 0.000 0.000 0.500  0.00
15 Rb 0.026 0.569 0.256  0.00
16 Rb 0.974 0.431 0.744  0.00
17 Rb 0.474 0.069 0.244  0.00
18 Rb 0.500 0.500 0.000  0.00
19 Ce 0.500 0.500 0.500  0.98
20 Ce 0.000 0.000 0.000  0.98

Summary:
Calculated volume: 743.3 Å³/cell
Raw formation energy: -2.10 eV per atom
E_tot: -4.090 eV per atom
M_tot: 1.000 μB/f.u.

Record 4
RbCe2Cl6 | PBE | relaxed

a = 6.973 Å, b = 9.697 Å, c = 9.697 Å
α = 60.12°, β = 76.56°, γ = 76.56°
Site moments in Bohr magnetons follow the coordinates.
Element x y z (fractional)
1 Ce 0.499 0.745 0.755  1.25
2 Ce 0.999 0.755 0.745  1.25
3 Ce 0.001 0.245 0.255  1.25
4 Ce 0.501 0.255 0.245  1.25
5 Cl 0.339 0.677 0.554  -0.01
6 Cl 0.659 0.946 0.823  -0.01
7 Cl 0.341 0.054 0.177  -0.01
8 Cl 0.775 0.955 0.455  -0.01
9 Cl 0.841 0.177 0.054  -0.01
10 Cl 0.839 0.554 0.677  -0.01
11 Cl 0.161 0.446 0.323  -0.01
12 Cl 0.661 0.323 0.446  -0.01
13 Cl 0.725 0.545 0.045  -0.01
14 Cl 0.225 0.045 0.545  -0.01
15 Cl 0.275 0.455 0.955  -0.01
16 Cl 0.159 0.823 0.946  -0.01
17 Rb 0.750 0.749 0.251  0.00
18 Rb 0.250 0.251 0.749  0.00

Summary:
Calculated volume: 547.6 Å³/cell
Raw formation energy: -2.08 eV per atom
E_tot: -4.739 eV per atom
M_tot: 2.953 μB/f.u.

Record 5
RbCe3Cl10 | PBE | relaxed

a = 10.343 Å, b = 10.343 Å, c = 10.343 Å
α = 60.00°, β = 60.00°, γ = 60.00°
Site moments in Bohr magnetons follow the coordinates.
Element x y z (fractional)
1 Cl 0.385 0.846 0.385  -0.01
2 Cl 0.154 0.615 0.615  -0.01
3 Cl 0.000 0.335 0.665  -0.01
4 Cl 0.665 0.335 0.000  -0.01
5 Cl 0.335 0.000 0.665  -0.01
6 Cl 0.000 0.665 0.000  -0.01
7 Cl 0.615 0.615 0.615  -0.01
8 Cl 0.335 0.665 0.000  -0.01
9 Cl 0.385 0.385 0.846  -0.01
10 Cl 0.846 0.385 0.385  -0.01
11 Cl 0.665 0.000 0.335  -0.01
12 Cl 0.665 0.000 0.000  -0.01
13 Cl 0.000 0.335 0.000  -0.01
14 Cl 0.615 0.615 0.154  -0.01
15 Cl 0.000 0.000 0.335  -0.01
16 Cl 0.385 0.385 0.385  -0.01
17 Cl 0.000 0.665 0.335  -0.01
18 Cl 0.000 0.000 0.665  -0.01
19 Cl 0.335 0.000 0.000  -0.01
20 Cl 0.615 0.154 0.615  -0.01
21 Ce 0.740 0.260 0.740  0.98
22 Ce 0.260 0.740 0.740  0.98
23 Ce 0.740 0.260 0.260  0.98
24 Ce 0.260 0.740 0.260  0.98
25 Ce 0.260 0.260 0.740  0.98
26 Ce 0.740 0.740 0.260  0.98
27 Rb 0.250 0.250 0.250  0.00
28 Rb 0.750 0.750 0.750  0.00

Summary:
Calculated volume: 782.4 Å³/cell
Raw formation energy: -2.18 eV per atom
E_tot: -4.836 eV per atom
M_tot: 3.000 μB/f.u.

Record 6
RbCeCl6 | PBE | relaxed

a = 7.115 Å, b = 7.115 Å, c = 7.829 Å
α = 62.97°, β = 62.97°, γ = 60.00°
Site moments in Bohr magnetons follow the coordinates.
Element x y z (fractional)
1 Rb 0.500 0.500 0.500  0.00
2 Ce 0.000 0.000 0.000  -0.04
3 Cl 0.909 0.909 0.763  0.11
4 Cl 0.091 0.091 0.237  0.11
5 Cl 0.419 0.909 0.763  0.11
6 Cl 0.909 0.419 0.763  0.11
7 Cl 0.091 0.581 0.237  0.11
8 Cl 0.581 0.091 0.237  0.11

Summary:
Calculated volume: 292.2 Å³/cell
Raw formation energy: -1.58 eV per atom
E_tot: -3.831 eV per atom
M_tot: 0.819 μB/f.u.

Record 7
RbCeScCl6 | PBE | relaxed

a = 6.970 Å, b = 6.970 Å, c = 14.799 Å
α = 90.00°, β = 90.00°, γ = 120.00°
Site moments in Bohr magnetons follow the coordinates.
Element x y z (fractional)
1 Sc 0.333 0.667 0.750  0.48
2 Sc 0.667 0.333 0.250  0.48
3 Cl 0.377 0.351 0.353  -0.01
4 Cl 0.026 0.649 0.853  -0.01
5 Cl 0.974 0.351 0.147  -0.01
6 Cl 0.649 0.026 0.353  -0.01
7 Cl 0.351 0.974 0.647  -0.01
8 Cl 0.351 0.377 0.853  -0.01
9 Cl 0.623 0.649 0.647  -0.01
10 Cl 0.026 0.377 0.647  -0.01
11 Cl 0.974 0.623 0.353  -0.01
12 Cl 0.377 0.026 0.147  -0.01
13 Cl 0.623 0.974 0.853  -0.01
14 Cl 0.649 0.623 0.147  -0.01
15 Rb 0.000 0.000 0.000  0.00
16 Rb 0.000 0.000 0.500  0.00
17 Ce 0.667 0.333 0.750  1.25
18 Ce 0.333 0.667 0.250  1.25

Summary:
Calculated volume: 622.7 Å³/cell
Raw formation energy: -2.07 eV per atom
E_tot: -4.773 eV per atom
M_tot: 2.002 μB/f.u.

Record 8
RbCeSnCl6 | PBE | relaxed

a = 10.427 Å, b = 10.001 Å, c = 10.302 Å
α = 119.04°, β = 120.40°, γ = 90.00°
Site moments in Bohr magnetons follow the coordinates.
Element x y z (fractional)
1 Cl 0.832 0.086 0.260  -0.01
2 Cl 0.832 0.674 0.260  -0.01
3 Cl 0.428 0.086 0.260  -0.01
4 Cl 0.168 0.326 0.740  -0.01
5 Cl 0.168 0.914 0.740  -0.01
6 Cl 0.572 0.326 0.740  -0.01
7 Cl 0.572 0.914 0.740  -0.01
8 Cl 0.585 0.335 0.171  0.00
9 Cl 0.428 0.674 0.260  -0.01
10 Cl 0.415 0.665 0.829  0.00
11 Cl 0.182 0.932 0.365  -0.01
12 Cl 0.818 0.068 0.635  -0.01
13 Rb 0.803 0.553 0.606  0.00
14 Rb 0.197 0.447 0.394  0.00
15 Ce 0.000 0.000 0.500  0.98
16 Ce 0.500 0.000 0.500  0.98
17 Sn 0.500 0.500 0.000  0.00
18 Sn 0.500 0.000 0.000  0.00

Summary:
Calculated volume: 765.9 Å³/cell
Raw formation energy: -1.70 eV per atom
E_tot: -4.143 eV per atom
M_tot: 1.000 μB/f.u.

Record 9
RbCeSn2Cl8 | PBE | relaxed

a = 6.842 Å, b = 6.822 Å, c = 9.306 Å
α = 87.30°, β = 87.14°, γ = 88.01°
Site moments in Bohr magnetons follow the coordinates.
Element x y z (fractional)
1 Cl 0.823 0.221 0.214  -0.01
2 Cl 0.712 0.713 0.038  0.00
3 Cl 0.288 0.287 0.962  0.00
4 Cl 0.220 0.822 0.214  -0.01
5 Cl 0.780 0.178 0.786  -0.01
6 Cl 0.674 0.678 0.450  0.00
7 Cl 0.177 0.779 0.786  -0.01
8 Cl 0.326 0.322 0.550  0.00
9 Sn 0.511 0.511 0.251  0.00
10 Sn 0.489 0.489 0.749  0.00
11 Ce 0.000 0.000 0.000  0.98
12 Rb 0.000 0.000 0.500  0.00

Summary:
Calculated volume: 433.1 Å³/cell
Raw formation energy: -1.56 eV per atom
E_tot: -4.033 eV per atom
M_tot: 1.000 μB/f.u.

Record 10
Rb2SrCeCl8 | PBE | relaxed

a = 7.331 Å, b = 7.012 Å, c = 8.996 Å
α = 90.00°, β = 90.00°, γ = 92.14°
Site moments in Bohr magnetons follow the coordinates.
Element x y z (fractional)
1 Cl 0.869 0.209 0.779  0.00
2 Cl 0.311 0.241 0.500  0.07
3 Cl 0.700 0.789 0.000  0.00
4 Cl 0.869 0.209 0.222  0.00
5 Cl 0.131 0.791 0.778  0.00
6 Cl 0.131 0.791 0.221  0.00
7 Cl 0.300 0.211 0.000  0.00
8 Cl 0.689 0.759 0.500  0.07
9 Sr 0.000 0.000 0.500  0.00
10 Ce 0.000 0.000 0.000  0.00
11 Rb 0.500 0.500 0.252  0.00
12 Rb 0.500 0.500 0.748  0.00

Summary:
Calculated volume: 462.1 Å³/cell
Raw formation energy: -2.07 eV per atom
E_tot: -4.100 eV per atom
M_tot: 0.194 μB/f.u.

Record 11
RbSrCe2Cl8 | PBE | relaxed

a = 7.061 Å, b = 6.871 Å, c = 8.815 Å
α = 90.04°, β = 90.08°, γ = 88.69°
Site moments in Bohr magnetons follow the coordinates.
Element x y z (fractional)
1 Cl 0.326 0.274 0.000  -0.01
2 Cl 0.674 0.726 0.000  -0.01
3 Cl 0.186 0.759 0.225  0.00
4 Cl 0.814 0.241 0.775  0.00
5 Cl 0.815 0.241 0.225  0.00
6 Cl 0.185 0.759 0.775  0.00
7 Cl 0.356 0.298 0.500  -0.01
8 Cl 0.644 0.702 0.500  -0.01
9 Ce 0.500 0.500 0.239  1.33
10 Ce 0.500 0.500 0.761  1.33
11 Rb 0.000 0.000 0.500  0.00
12 Sr 0.000 0.000 0.000  0.01

Summary:
Calculated volume: 427.6 Å³/cell
Raw formation energy: -2.16 eV per atom
E_tot: -4.598 eV per atom
M_tot: 3.000 μB/f.u.

Record 12
RbCeTlCl6 | PBE | relaxed

a = 7.950 Å, b = 7.950 Å, c = 12.274 Å
α = 90.00°, β = 90.00°, γ = 120.00°
Element x y z (fractional)
1 Tl 0.000 0.000 0.500
2 Tl 0.000 0.000 0.000
3 Cl 0.063 0.674 0.872
4 Cl 0.937 0.611 0.372
5 Cl 0.611 0.674 0.628
6 Cl 0.611 0.937 0.872
7 Cl 0.389 0.326 0.372
8 Cl 0.937 0.326 0.128
9 Cl 0.674 0.063 0.372
10 Cl 0.063 0.389 0.628
11 Cl 0.326 0.937 0.628
12 Cl 0.389 0.063 0.128
13 Cl 0.674 0.611 0.128
14 Cl 0.326 0.389 0.872
15 Ce 0.667 0.333 0.250
16 Ce 0.333 0.667 0.750
17 Rb 0.667 0.333 0.750
18 Rb 0.333 0.667 0.250

Summary:
Calculated volume: 671.7 Å³/cell
Raw formation energy: -1.79 eV per atom
E_tot: -4.052 eV per atom
M_tot: 0.000 μB/f.u.

> What is the E_tot in the fifth record?

-4.836 eV per atom

> Among the records above, which one has the highest raw formation energy?

RbCeSn2Cl8